(1)
## InPd2Cl (PBE)

Data for InPd2Cl after structural relaxation.

Cell: 9.4328 9.4328 9.4328 Å, 154.01 154.01 37.09°
Last column: nearest neighbours and their distance in Å.
Fractional coordinates of all 8 atoms:
1 In 0.0000 0.0000 0.0000  4 Pd 2.70, 4 Cl 3.00
2 In 0.7500 0.2500 0.5000  4 Pd 2.70, 4 Cl 3.00
3 Pd 0.1323 0.6250 0.0073  2 Cl 2.68, 2 In 2.70, 2 Pd 2.96
4 Pd 0.3750 0.3823 0.5073  2 Cl 2.68, 2 In 2.70, 2 Pd 2.96
5 Pd 0.6177 0.1250 0.9927  2 Cl 2.68, 2 In 2.70, 2 Pd 2.96
6 Pd 0.8750 0.8677 0.4927  2 Cl 2.68, 2 In 2.70, 2 Pd 2.96
7 Cl 0.2500 0.7500 0.5000  4 Pd 2.68, 4 In 3.00
8 Cl 0.5000 0.5000 0.0000  4 Pd 2.68, 4 In 3.00

## Properties
Space-group type: I-42d (122)
Distance to the lowest polymorph of the same formula in meV/atom: 58
VASP energy in eV/cell: -30.67
ρ in kg/m3: 7491

(2)
## Pm2PrEr5Th (PBE)

Data for Pm2PrEr5Th after structural relaxation.

Cell: 9.8460 9.8460 9.8460 Å, 127.60 127.60 77.28°
Last column: nearest neighbours and their distance in Å.
Fractional coordinates of all 18 atoms:
1 Pm 0.1159 0.6159 0.7317  1 Pm 2.85, 2 Er 3.00
2 Pm 0.3841 0.1159 0.5000  1 Pm 2.85, 2 Er 3.00
3 Pm 0.6159 0.8841 0.5000  1 Pm 2.85, 2 Er 3.00
4 Pm 0.8841 0.3841 0.2683  1 Pm 2.85, 2 Er 3.00
5 Pr 0.2500 0.7500 0.5000  4 Er 3.12
6 Pr 0.7500 0.2500 0.5000  4 Er 3.12
7 Er 0.0000 0.0000 0.0000  4 Pm 3.49, 8 Er 3.77, 2 Th 3.85
8 Er 0.0739 0.1498 0.5000  1 Pm 3.00, 1 Pr 3.12
9 Er 0.1498 0.6498 0.0759  1 Pm 3.00, 1 Pr 3.12
10 Er 0.3502 0.4261 0.5000  1 Pm 3.00, 1 Pr 3.12
11 Er 0.4261 0.9261 0.0759  1 Pm 3.00, 1 Pr 3.12
12 Er 0.5000 0.5000 0.0000  4 Pm 3.49, 8 Er 3.77, 2 Th 3.85
13 Er 0.5739 0.0739 0.9241  1 Pm 3.00, 1 Pr 3.12
14 Er 0.6498 0.5739 0.5000  1 Pm 3.00, 1 Pr 3.12
15 Er 0.8502 0.3502 0.9241  1 Pm 3.00, 1 Pr 3.12
16 Er 0.9261 0.8502 0.5000  1 Pm 3.00, 1 Pr 3.12
17 Th 0.2500 0.2500 0.0000  10 Er 3.55-3.85
18 Th 0.7500 0.7500 0.0000  10 Er 3.55-3.85

## Properties
Space-group type: I4/mcm (140)
VASP energy in eV/cell: -83.87
ρ in kg/m3: 8564
Energy of formation from the pure elements in eV/atom: 0.287